DFT (PBE) results for a relaxed AsPt3Au crystal. Values from VASP.

Properties
Calculated volume ... 120 Å³ per cell
Total energy ... -3.738 eV/atom
Offset from the most stable computed form ... 0.9657 eV per atom

Geometry as Quantum ESPRESSO input:
```
&SYSTEM
  ibrav = 0, nat = 5, ntyp = 3
/
ATOMIC_SPECIES
As 74.92 As.upf
Pt 195.08 Pt.upf
Au 196.97 Au.upf
CELL_PARAMETERS angstrom
4.9322 0.0000 0.0000
0.0000 4.9322 0.0000
0.0000 0.0000 4.9322
ATOMIC_POSITIONS crystal
As 0.0000 0.0000 0.0000
Pt 0.0000 0.5000 0.5000
Pt 0.5000 0.0000 0.5000
Pt 0.5000 0.5000 0.0000
Au 0.5000 0.5000 0.5000
```